La4P3I | Alexandria via LeMat-Bulk | PBE | relaxed; density of states at the Fermi level = 9.740 states/eV per cell; symmetry = No. 194; formation energy (no corrections) = -1.52 eV/atom; total magnetic moment = 0.0 μB per cell
1.0
-2.376 -1.615 -3.196
3.796 -1.771 0.962
-13.275 -18.119 19.024
P I La
6 2 8
direct
0.333 0.667 0.881
0.000 0.000 0.000
0.667 0.333 0.381
0.000 0.000 0.500
0.667 0.333 0.119
0.333 0.667 0.619
0.667 0.333 0.750
0.333 0.667 0.250
0.000 0.000 0.169
0.000 0.000 0.331
0.000 0.000 0.669
0.000 0.000 0.831
0.667 0.333 0.943
0.333 0.667 0.057
0.667 0.333 0.557
0.333 0.667 0.443